This record from Alexandria describes a geometry-optimized RbUPtSe4 structure. The functional is GGA-PBE.

Cell: 6.635 6.357 9.583 Å, 90.00 106.22 90.00°
Sites, in units of the cell vectors:
Se (0.034, 0.518, 0.699)
Se (0.482, 0.750, 0.624)
Se (0.034, 0.982, 0.699)
Se (0.451, 0.750, 0.200)
Se (0.549, 0.250, 0.800)
Se (0.966, 0.018, 0.301)
Se (0.966, 0.482, 0.301)
Se (0.518, 0.250, 0.376)
U (0.755, 0.750, 0.455)
U (0.245, 0.250, 0.545)
Rb (0.229, 0.250, 0.034)
Rb (0.771, 0.750, 0.966)
Pt (0.761, 0.250, 0.614)
Pt (0.239, 0.750, 0.386)

Values from the calculation:
The calculation puts the total energy at -5.431 eV per atom. The space group is P2_1/m. The calculated density is 7.14 Mg/m³. The uncorrected formation energy is -0.827 eV/atom. Its density of states at the Fermi level is 7.4 states/eV/cell.

This record from Alexandria describes a geometry-optimized Rb2U2PtSe6 structure. The functional is GGA-PBE.

Cell: 6.954 6.954 8.645 Å, 97.50 97.50 120.31°
Sites, in units of the cell vectors:
Se (0.071, 0.405, 0.697)
Se (0.929, 0.595, 0.303)
Se (0.752, 0.752, 0.676)
Se (0.248, 0.248, 0.324)
Se (0.405, 0.071, 0.697)
Se (0.595, 0.929, 0.303)
Rb (0.838, 0.162, 0.000)
Rb (0.162, 0.838, 0.000)
Pt (0.000, 0.000, 0.500)
U (0.329, 0.671, 0.500)
U (0.671, 0.329, 0.500)

Values from the calculation:
The calculation puts the total energy at -5.632 eV per atom. The space group is C2/m. The calculated density is 6.27 Mg/m³. The uncorrected formation energy is -0.954 eV/atom. Its density of states at the Fermi level is 16.8 states/eV/cell.

This record from Alexandria describes a geometry-optimized Rb3U3PtSe8 structure. The functional is GGA-PBE.

Cell: 8.229 8.082 9.436 Å, 114.42 90.00 120.61°
Sites, in units of the cell vectors:
Se (0.213, 0.425, 0.681)
Se (0.726, 0.959, 0.694)
Se (0.274, 0.041, 0.306)
Se (0.767, 0.041, 0.306)
Se (0.734, 0.468, 0.701)
Se (0.233, 0.959, 0.694)
Se (0.787, 0.575, 0.319)
Se (0.266, 0.532, 0.299)
Pt (0.000, 0.000, 0.500)
Rb (0.000, 0.500, 0.000)
Rb (0.000, 0.000, 0.000)
Rb (0.500, 0.500, 0.000)
U (0.500, 0.000, 0.500)
U (0.000, 0.500, 0.500)
U (0.500, 0.500, 0.500)

Values from the calculation:
The calculation puts the total energy at -5.741 eV per atom. The space group is C2/m. The calculated density is 6.30 Mg/m³. The uncorrected formation energy is -1.029 eV/atom. Its density of states at the Fermi level is 17.6 states/eV/cell.

This record from Alexandria describes a geometry-optimized Rb2UPt2Se6 structure. The functional is GGA-PBE.

Cell: 6.601 6.601 8.648 Å, 96.82 96.82 120.34°
Sites, in units of the cell vectors:
Rb (0.162, 0.838, 0.000)
Rb (0.838, 0.162, 0.000)
Se (0.299, 0.299, 0.318)
Se (0.057, 0.410, 0.681)
Se (0.410, 0.057, 0.681)
Se (0.701, 0.701, 0.682)
Se (0.590, 0.943, 0.319)
Se (0.943, 0.590, 0.319)
U (0.000, 0.000, 0.500)
Pt (0.667, 0.333, 0.500)
Pt (0.333, 0.667, 0.500)

Values from the calculation:
The calculation puts the total energy at -4.954 eV per atom. The space group is C2/m. The calculated density is 6.69 Mg/m³. The uncorrected formation energy is -0.752 eV/atom. Its density of states at the Fermi level is 8.8 states/eV/cell.

This record from Alexandria describes a geometry-optimized RbU4Pt3Se12 structure. The functional is GGA-PBE.

Cell: 8.906 8.906 8.906 Å, 109.47 109.47 109.47°
Sites, in units of the cell vectors:
Se (0.321, 0.837, 0.158)
Se (0.158, 0.321, 0.837)
Se (0.837, 0.516, 0.679)
Se (0.679, 0.837, 0.516)
Se (0.484, 0.321, 0.163)
Se (0.321, 0.163, 0.484)
Se (0.842, 0.679, 0.163)
Se (0.163, 0.484, 0.321)
Se (0.837, 0.158, 0.321)
Se (0.516, 0.679, 0.837)
Se (0.679, 0.163, 0.842)
Se (0.163, 0.842, 0.679)
Pt (0.500, 0.500, 0.000)
Pt (0.500, 0.000, 0.500)
Pt (0.000, 0.500, 0.500)
Rb (0.000, 0.000, 0.000)
U (0.000, 0.500, 0.000)
U (0.500, 0.500, 0.500)
U (0.500, 0.000, 0.000)
U (0.000, 0.000, 0.500)

Values from the calculation:
The calculation puts the total energy at -6.038 eV per atom. The space group is Im-3. The calculated density is 7.85 Mg/m³. The uncorrected formation energy is -0.735 eV/atom. Its density of states at the Fermi level is 25.8 states/eV/cell.

This record from Alexandria describes a geometry-optimized Rb2UPtSe6 structure. The functional is GGA-PBE.

Cell: 7.373 7.373 7.373 Å, 60.00 60.00 90.00°
Sites, in units of the cell vectors:
Pt (0.500, 0.500, 0.000)
Se (0.256, 0.744, 0.000)
Se (0.256, 0.256, 0.487)
Se (0.744, 0.744, 0.000)
Se (0.744, 0.256, 0.000)
Se (0.744, 0.744, 0.513)
Se (0.256, 0.256, 0.000)
U (0.000, 0.000, 0.000)
Rb (0.750, 0.250, 0.500)
Rb (0.250, 0.750, 0.500)

Values from the calculation:
The calculation puts the total energy at -4.717 eV per atom. The space group is Fm-3m. The calculated density is 6.31 Mg/m³. The uncorrected formation energy is -0.700 eV/atom. Its density of states at the Fermi level is 8.3 states/eV/cell.

This record from Alexandria describes a geometry-optimized RbV2PtSe8 structure. The functional is GGA-PBE.

Cell: 6.314 6.314 10.434 Å, 72.39 72.39 60.00°
Sites, in units of the cell vectors:
Se (0.635, 0.279, 0.154)
Se (0.817, 0.817, 0.549)
Se (0.365, 0.721, 0.846)
Se (0.721, 0.068, 0.846)
Se (0.279, 0.932, 0.154)
Se (0.183, 0.183, 0.451)
Se (0.068, 0.365, 0.846)
Se (0.932, 0.635, 0.154)
V (0.740, 0.740, 0.780)
V (0.260, 0.260, 0.220)
Rb (0.500, 0.500, 0.500)
Pt (0.000, 0.000, 0.000)

Values from the calculation:
The calculation puts the total energy at -4.835 eV per atom. The space group is R-3. The calculated density is 4.99 Mg/m³. The uncorrected formation energy is -0.408 eV/atom. Its density of states at the Fermi level is 11.1 states/eV/cell.

This record from Alexandria describes a geometry-optimized Rb2Si2Pt structure. The functional is GGA-PBE.

Cell: 6.461 6.461 5.857 Å, 90.00 90.00 90.00°
Sites, in units of the cell vectors:
Si (0.130, 0.370, 0.000)
Si (0.630, 0.130, 0.000)
Si (0.870, 0.630, 0.000)
Si (0.370, 0.870, 0.000)
Rb (0.310, 0.190, 0.500)
Rb (0.690, 0.810, 0.500)
Rb (0.190, 0.690, 0.500)
Rb (0.810, 0.310, 0.500)
Pt (0.000, 0.000, 0.000)
Pt (0.500, 0.500, 0.000)

Values from the calculation:
The calculation puts the total energy at -3.861 eV per atom. The space group is P4/mbm. The calculated density is 5.73 Mg/m³. The uncorrected formation energy is -0.096 eV/atom. Its density of states at the Fermi level is 0.0 states/eV/cell.